Density functional theory data (PBE) for a geometry-optimized MgIn3Pb2 structure.

It has space group Pmm2 (No. 25), with a = 3.4574 Å, b = 5.2349 Å, c = 9.3235 Å, α = 90.00°, β = 90.00° and γ = 90.00°. The asymmetric unit holds Mg at (0.0000, 0.0000, 0.0000), In at (0.0000, 0.0000, 0.3284), In at (0.0000, 0.5000, 0.4995), In at (0.0000, 0.5000, 0.8338), Pb at (0.5000, 0.0000, 0.6778) and Pb at (0.5000, 0.5000, 0.1548).

The energy above the most stable polymorph in this dataset is 0.014 eV/atom. The total moment is 0.00 μB/atom. The value obtained for the calculated volume is 168.7 Å³/f.u. For the calculated formation energy, the calculation gives 0.2 eV per formula unit.